KV3Se | Alexandria | PBE | relaxed; symmetry = Pm-3m (221); spin magnetization = 10.459 μB per cell; energy above the most stable polymorph in this dataset = 0.000 eV per atom
1.0
4.984 0.000 0.000
0.000 4.984 0.000
0.000 0.000 4.984
K Se V
1 1 3
direct
0.500 0.500 0.500
0.000 0.000 0.000
0.000 0.500 0.000
0.000 0.000 0.500
0.500 0.000 0.000